1.
Tb5Sm4Dy3 | GGA-PBE | optimized geometry

Calculated values
Total magnetization = 0.0 μB per formula unit
Total DFT energy (no corrections) = -4.64 eV per atom
Formation energy = 14 meV/atom
Energy relative to the lowest polymorph listed for this composition = 0.00 kcal/mol of atoms

a = 6.196 Å, b = 7.154 Å, c = 8.757 Å
α = 90.07°, β = 90.08°, γ = 90.12°
Fractional coordinates of all 12 atoms:
Tb 0.000 0.000 0.000
Tb 0.333 0.500 0.332
Tb 0.499 0.251 0.000
Tb 0.501 0.749 0.000
Tb 0.667 0.500 0.668
Sm 0.166 0.749 0.668
Sm 0.333 0.000 0.332
Sm 0.667 0.000 0.668
Sm 0.834 0.251 0.332
Dy 0.000 0.500 0.000
Dy 0.167 0.251 0.668
Dy 0.833 0.749 0.332

=====

2.
Sc3HPbS | GGA-PBE | optimized geometry

Calculated values
Total magnetization = 0.0 μB per formula unit
Total DFT energy (no corrections) = -5.93 eV per atom

a = 8.053 Å, b = 3.650 Å, c = 8.275 Å
α = 90.00°, β = 106.91°, γ = 90.00°
Fractional coordinates of all 12 atoms:
Sc 0.044 0.250 0.330
Sc 0.328 0.250 0.955
Sc 0.389 0.750 0.624
Sc 0.611 0.250 0.376
Sc 0.672 0.750 0.045
Sc 0.956 0.750 0.670
H 0.422 0.750 0.892
H 0.578 0.250 0.108
Pb 0.293 0.750 0.234
Pb 0.707 0.250 0.766
S 0.172 0.250 0.646
S 0.828 0.750 0.354